Version w
NaMgTl: optimized geometry, PBE.

Cell lengths 6.384, 6.382, 6.467 Å; angles 57.81, 57.80, 47.96 degrees
Element x y z (fractional)
Na 0.415 0.373 0.907
Na 0.425 0.383 0.404
Mg 0.751 0.709 0.370
Mg 0.089 0.047 0.941
Tl 0.092 0.050 0.439
Tl 0.748 0.705 0.872

***

Version x
NaMgTl: optimized geometry, PBE.

Cell lengths 3.780, 3.780, 12.630 Å; angles 98.61, 98.61, 90.00 degrees
Element x y z (fractional)
Na 0.572 0.572 0.145
Na 0.428 0.428 0.855
Mg 0.285 0.285 0.569
Mg 0.715 0.715 0.431
Tl 0.150 0.150 0.300
Tl 0.850 0.850 0.700

***

Relative energy of each structure, in kJ/mol of atoms: version w 1.6; version x 0.0.

***

Version w
NaMgTl4: optimized geometry, PBE.

Cell lengths 6.426, 6.426, 6.426 Å; angles 60.00, 60.00, 60.00 degrees
Element x y z (fractional)
Na 0.000 0.000 0.000
Tl 0.625 0.625 0.125
Tl 0.625 0.125 0.625
Tl 0.625 0.625 0.625
Tl 0.125 0.625 0.625
Mg 0.250 0.250 0.250

***

Version x
NaMgTl4: optimized geometry, PBE.

Cell lengths 3.925, 6.122, 8.332 Å; angles 107.14, 76.37, 71.30 degrees
Element x y z (fractional)
Na 0.000 0.000 0.000
Mg 0.500 0.500 0.500
Tl 0.847 0.485 0.822
Tl 0.315 0.027 0.342
Tl 0.153 0.515 0.178
Tl 0.685 0.973 0.658

***

Version y
NaMgTl4: optimized geometry, PBE.

Cell lengths 3.384, 5.567, 9.868 Å; angles 81.48, 80.13, 72.31 degrees
Element x y z (fractional)
Na 0.500 0.500 0.500
Mg 0.000 0.000 0.000
Tl 0.653 0.542 0.153
Tl 0.347 0.458 0.847
Tl 0.164 0.005 0.668
Tl 0.836 0.995 0.332

***

Relative energy of each structure, in kJ/mol of atoms: version w 11.1; version x 0.0; version y 6.0.

***

Version w
NaMg4Tl8: optimized geometry, PBE.

Cell lengths 10.312, 10.312, 10.312 Å; angles 38.07, 38.07, 38.07 degrees
Element x y z (fractional)
Na 0.000 0.000 0.000
Mg 0.500 0.500 0.500
Mg 0.500 0.500 0.000
Mg 0.000 0.500 0.500
Mg 0.500 0.000 0.500
Tl 0.762 0.251 0.251
Tl 0.251 0.251 0.762
Tl 0.251 0.762 0.251
Tl 0.197 0.197 0.197
Tl 0.803 0.803 0.803
Tl 0.749 0.749 0.238
Tl 0.749 0.238 0.749
Tl 0.238 0.749 0.749

***

Version x
NaMg4Tl8: optimized geometry, PBE.

Cell lengths 6.286, 8.240, 8.240 Å; angles 81.63, 67.58, 67.58 degrees
Element x y z (fractional)
Na 0.000 0.000 0.000
Mg 0.000 0.000 0.500
Mg 0.500 0.000 0.500
Mg 0.000 0.500 0.000
Mg 0.500 0.500 0.000
Tl 0.000 0.342 0.658
Tl 0.000 0.658 0.342
Tl 0.342 0.658 0.658
Tl 0.658 0.342 0.342
Tl 0.500 0.782 0.218
Tl 0.500 0.218 0.782
Tl 0.282 0.218 0.218
Tl 0.718 0.782 0.782

***

Relative energy of each structure, in kJ/mol of atoms: version w 5.1; version x 0.0.

***

Version w
NaMg2Tl2: optimized geometry, PBE.

Cell lengths 3.682, 3.429, 10.826 Å; angles 80.89, 90.00, 90.00 degrees
Element x y z (fractional)
Na 0.000 0.000 0.000
Mg 0.000 0.190 0.620
Mg 0.000 0.810 0.380
Tl 0.500 0.396 0.208
Tl 0.500 0.604 0.792

***

Version x
NaMg2Tl2: optimized geometry, PBE.

Cell lengths 8.781, 8.781, 3.437 Å; angles 90.00, 90.00, 90.00 degrees
Element x y z (fractional)
Na 0.000 0.000 0.000
Na 0.500 0.500 0.000
Tl 0.171 0.671 0.500
Tl 0.671 0.829 0.500
Tl 0.829 0.329 0.500
Tl 0.329 0.171 0.500
Mg 0.373 0.873 0.000
Mg 0.873 0.627 0.000
Mg 0.627 0.127 0.000
Mg 0.127 0.373 0.000

***

Version y
NaMg2Tl2: optimized geometry, PBE.

Cell lengths 4.475, 4.475, 7.727 Å; angles 73.17, 73.17, 90.00 degrees
Element x y z (fractional)
Na 0.000 0.000 0.000
Tl 0.394 0.394 0.213
Tl 0.606 0.606 0.787
Mg 0.750 0.250 0.500
Mg 0.250 0.750 0.500

***

Relative energy of each structure, in kJ/mol of atoms: version w 4.5; version x 0.0; version y 5.8.

***

Version w
NaMgTl6: optimized geometry, PBE.

Cell lengths 4.855, 4.855, 9.640 Å; angles 90.00, 90.00, 90.00 degrees
Element x y z (fractional)
Na 0.000 0.000 0.000
Mg 0.000 0.000 0.500
Tl 0.500 0.500 0.000
Tl 0.500 0.500 0.500
Tl 0.500 0.000 0.256
Tl 0.500 0.000 0.744
Tl 0.000 0.500 0.256
Tl 0.000 0.500 0.744

***

Version x
NaMgTl6: optimized geometry, PBE.

Cell lengths 6.729, 6.729, 6.729 Å; angles 108.78, 108.78, 108.78 degrees
Element x y z (fractional)
Na 0.000 0.000 0.000
Mg 0.500 0.500 0.500
Tl 0.247 0.733 0.247
Tl 0.247 0.247 0.733
Tl 0.753 0.267 0.753
Tl 0.267 0.753 0.753
Tl 0.753 0.753 0.267
Tl 0.733 0.247 0.247

***

Relative energy of each structure, in kJ/mol of atoms: version w 0.0; version x 3.3.

***

Version w
Na2MgTl7: optimized geometry, PBE.

Cell lengths 5.158, 5.158, 13.366 Å; angles 90.00, 90.00, 120.00 degrees
Element x y z (fractional)
Na 0.333 0.667 0.763
Na 0.667 0.333 0.354
Mg 0.000 0.000 0.937
Tl 0.667 0.333 0.594
Tl 0.667 0.333 0.860
Tl 0.000 0.000 0.672
Tl 0.000 0.000 0.215
Tl 0.333 0.667 0.484
Tl 0.333 0.667 0.022
Tl 0.667 0.333 0.116

***

Version x
Na2MgTl7: optimized geometry, PBE.

Cell lengths 8.089, 8.089, 8.089 Å; angles 60.00, 60.00, 60.00 degrees
Element x y z (fractional)
Na 0.250 0.250 0.250
Na 0.750 0.750 0.750
Mg 0.000 0.000 0.000
Tl 0.500 0.500 0.500
Tl 0.243 0.757 0.757
Tl 0.243 0.757 0.243
Tl 0.757 0.243 0.757
Tl 0.757 0.757 0.243
Tl 0.243 0.243 0.757
Tl 0.757 0.243 0.243

***

Relative energy of each structure, in kJ/mol of atoms: version w 0.0; version x 18.8.